Below is a relaxed structure of CrTcP2Cl, with properties calculated at the PBE-GGA level.

The theoretical density is 3.97 g cm⁻³. As for the total energy: -5.477 eV per atom. The uncorrected formation energy comes out at 101.76 kJ per mole of atoms. The value obtained for the energy relative to the lowest polymorph listed for this composition is 252 meV per atom.

```
data_CrTcP2Cl
_cell_length_a 4.508
_cell_length_b 4.508
_cell_length_c 5.092
_cell_angle_alpha 90.00
_cell_angle_beta 90.00
_cell_angle_gamma 90.00
_symmetry_space_group_name_H-M 'P 4/m m m'
_symmetry_Int_Tables_number 123
_symmetry_space_group_name_Hall '-P 4 2'
loop_
_atom_site_label
_atom_site_fract_x
_atom_site_fract_y
_atom_site_fract_z
Cr1 0.000 0.000 0.000
Tc1 0.500 0.500 0.500
P1 0.000 0.500 0.500
Cl1 0.500 0.500 0.000
```

=====

Below is a relaxed structure of LaBeTl2, with properties calculated at the PBE-GGA level.

The theoretical density is 9.11 g cm⁻³. As for the total energy: -3.194 eV per atom. The value obtained for the energy relative to the lowest polymorph listed for this composition is 166 meV per atom. The energy of formation from the pure elements is 0.1525 eV/atom.

```
data_LaBeTl2
_cell_length_a 5.099
_cell_length_b 5.113
_cell_length_c 7.787
_cell_angle_alpha 90.00
_cell_angle_beta 90.00
_cell_angle_gamma 90.00
_symmetry_space_group_name_H-M 'C m m 2'
_symmetry_Int_Tables_number 35
_symmetry_space_group_name_Hall 'C 2 -2'
loop_
_atom_site_label
_atom_site_fract_x
_atom_site_fract_y
_atom_site_fract_z
La1 0.000 0.000 0.000
Be1 0.000 0.500 0.755
Tl1 0.000 0.000 0.578
Tl2 0.000 0.500 0.305
```

=====

Below is a relaxed structure of Pm5Sm3Ho2, with properties calculated at the PBE-GGA level.

The theoretical density is 7.33 g cm⁻³. As for the total energy: -4.524 eV per atom. The energy of formation from the pure elements is 0.1828 eV/atom.

```
data_Pm5Sm3Ho2
_cell_length_a 10.794
_cell_length_b 14.986
_cell_length_c 9.998
_cell_angle_alpha 90.00
_cell_angle_beta 122.53
_cell_angle_gamma 90.00
_symmetry_space_group_name_H-M 'C 1 2/c 1'
_symmetry_Int_Tables_number 15
_symmetry_space_group_name_Hall '-C 2yc'
loop_
_atom_site_label
_atom_site_fract_x
_atom_site_fract_y
_atom_site_fract_z
Pm1 0.000 0.020 0.250
Pm2 0.000 0.272 0.750
Pm3 0.000 0.477 0.750
Pm4 0.240 0.376 0.235
Sm1 0.000 0.229 0.250
Sm2 0.149 0.126 0.055
Ho1 0.156 0.375 0.555
```

=====

Below is a relaxed structure of Cs3YPu3S8, with properties calculated at the PBE-GGA level.

The theoretical density is 5.20 g cm⁻³. As for the total energy: -7.303 eV per atom. The uncorrected formation energy comes out at -157.66 kJ per mole of atoms.

```
data_Cs3YPu3S8
_cell_length_a 8.1756
_cell_length_b 8.1756
_cell_length_c 24.4268
_cell_angle_alpha 90.00
_cell_angle_beta 90.00
_cell_angle_gamma 120.00
_symmetry_space_group_name_H-M 'R -3 m'
_symmetry_Int_Tables_number 166
_symmetry_space_group_name_Hall '-R 3 2"'
loop_
_atom_site_label
_atom_site_fract_x
_atom_site_fract_y
_atom_site_fract_z
Cs1 0.0000 0.5000 0.0000
Y1 0.0000 0.0000 0.5000
Pu1 0.0000 0.5000 0.5000
S1 0.0000 0.0000 0.2254
S2 0.0014 0.5007 0.7747
```

=====

Below is a relaxed structure of La2TiGe3Pt4, with properties calculated at the PBE-GGA level.

The theoretical density is 11.05 g cm⁻³. As for the total energy: -6.553 eV per atom. The energy of formation from the pure elements is -0.9761 eV/atom.

```
data_La2TiGe3Pt4
_cell_length_a 4.394
_cell_length_b 4.394
_cell_length_c 10.304
_cell_angle_alpha 90.00
_cell_angle_beta 90.00
_cell_angle_gamma 90.00
_symmetry_space_group_name_H-M 'P -4 m 2'
_symmetry_Int_Tables_number 115
_symmetry_space_group_name_Hall 'P -4 -2'
loop_
_atom_site_label
_atom_site_fract_x
_atom_site_fract_y
_atom_site_fract_z
La1 0.000 0.500 0.247
Ti1 0.000 0.000 0.500
Ge1 0.000 0.500 0.872
Ge2 0.500 0.500 0.500
Pt1 0.000 0.000 0.000
Pt2 0.000 0.500 0.631
Pt3 0.500 0.500 0.000
```

=====

Below is a relaxed structure of Ce2PuTc2, with properties calculated at the PBE-GGA level.

The theoretical density is 10.78 g cm⁻³. As for the total energy: -9.449 eV per atom. The value obtained for the energy relative to the lowest polymorph listed for this composition is 0 meV per atom. The energy of formation from the pure elements is -0.0628 eV/atom.

```
data_Ce2PuTc2
_cell_length_a 9.961
_cell_length_b 5.831
_cell_length_c 7.797
_cell_angle_alpha 90.00
_cell_angle_beta 101.43
_cell_angle_gamma 90.00
_symmetry_space_group_name_H-M 'C 1 2/c 1'
_symmetry_Int_Tables_number 15
_symmetry_space_group_name_Hall '-C 2yc'
loop_
_atom_site_label
_atom_site_fract_x
_atom_site_fract_y
_atom_site_fract_z
Ce1 0.148 0.131 0.157
Pu1 0.000 0.333 0.750
Tc1 0.132 0.376 0.512
```

=====

Below is a relaxed structure of RbLa3Y, with properties calculated at the PBE-GGA level.

The theoretical density is 4.12 g cm⁻³. As for the total energy: -3.837 eV per atom. The value obtained for the energy relative to the lowest polymorph listed for this composition is 0 meV per atom. The energy of formation from the pure elements is 0.6060 eV/atom.

```
data_RbLa3Y
_cell_length_a 6.197
_cell_length_b 6.197
_cell_length_c 6.197
_cell_angle_alpha 90.00
_cell_angle_beta 90.00
_cell_angle_gamma 90.00
_symmetry_space_group_name_H-M 'P m -3 m'
_symmetry_Int_Tables_number 221
_symmetry_space_group_name_Hall '-P 4 2 3'
loop_
_atom_site_label
_atom_site_fract_x
_atom_site_fract_y
_atom_site_fract_z
Rb1 0.000 0.000 0.000
La1 0.000 0.500 0.500
Y1 0.500 0.500 0.500
```

=====

Below is a relaxed structure of LiVSn2, with properties calculated at the PBE-GGA level.

The theoretical density is 5.36 g cm⁻³. As for the total energy: -4.443 eV per atom. The value obtained for the energy relative to the lowest polymorph listed for this composition is 344 meV per atom. The energy of formation from the pure elements is 0.3167 eV/atom.

```
data_LiVSn2
_cell_length_a 4.411
_cell_length_b 4.411
_cell_length_c 18.823
_cell_angle_alpha 90.00
_cell_angle_beta 90.00
_cell_angle_gamma 90.00
_symmetry_space_group_name_H-M 'I -4 2 d'
_symmetry_Int_Tables_number 122
_symmetry_space_group_name_Hall 'I -4 2bw'
loop_
_atom_site_label
_atom_site_fract_x
_atom_site_fract_y
_atom_site_fract_z
Li1 0.000 0.000 0.000
V1 0.000 0.000 0.500
Sn1 0.248 0.250 0.625
```

=====

Below is a relaxed structure of RbNa2GePt, with properties calculated at the PBE-GGA level.

The theoretical density is 4.36 g cm⁻³. As for the total energy: -3.089 eV per atom. The value obtained for the energy relative to the lowest polymorph listed for this composition is 0 meV per atom. The energy of formation from the pure elements is -0.2364 eV/atom.

```
data_RbNa2GePt
_cell_length_a 5.657
_cell_length_b 5.657
_cell_length_c 4.755
_cell_angle_alpha 90.00
_cell_angle_beta 90.00
_cell_angle_gamma 90.00
_symmetry_space_group_name_H-M 'P 4/m m m'
_symmetry_Int_Tables_number 123
_symmetry_space_group_name_Hall '-P 4 2'
loop_
_atom_site_label
_atom_site_fract_x
_atom_site_fract_y
_atom_site_fract_z
Rb1 0.000 0.000 0.000
Na1 0.000 0.500 0.500
Ge1 0.500 0.500 0.000
Pt1 0.500 0.500 0.500
```

=====

Below is a relaxed structure of HoEr6Tm2, with properties calculated at the PBE-GGA level.

The theoretical density is 9.13 g cm⁻³. As for the total energy: -4.472 eV per atom. The value obtained for the energy relative to the lowest polymorph listed for this composition is 0 meV per atom. The energy of formation from the pure elements is 0.0722 eV/atom.

```
data_HoEr6Tm2
_cell_length_a 13.173
_cell_length_b 11.541
_cell_length_c 8.866
_cell_angle_alpha 90.00
_cell_angle_beta 125.63
_cell_angle_gamma 90.00
_symmetry_space_group_name_H-M 'C 1 2/c 1'
_symmetry_Int_Tables_number 15
_symmetry_space_group_name_Hall '-C 2yc'
loop_
_atom_site_label
_atom_site_fract_x
_atom_site_fract_y
_atom_site_fract_z
Ho1 0.000 0.174 0.250
Er1 0.024 0.370 0.951
Er2 0.106 0.086 0.694
Er3 0.219 0.168 0.140
Tm1 0.186 0.406 0.423
```

=====

Below is a relaxed structure of Cs2Tl4In3Hg, with properties calculated at the PBE-GGA level.

The theoretical density is 7.39 g cm⁻³. As for the total energy: -2.057 eV per atom. The energy of formation from the pure elements is -0.0877 eV/atom.

```
data_Cs2Tl4In3Hg
_cell_length_a 5.396
_cell_length_b 5.396
_cell_length_c 12.571
_cell_angle_alpha 90.00
_cell_angle_beta 90.00
_cell_angle_gamma 90.00
_symmetry_space_group_name_H-M 'P -4 m 2'
_symmetry_Int_Tables_number 115
_symmetry_space_group_name_Hall 'P -4 -2'
loop_
_atom_site_label
_atom_site_fract_x
_atom_site_fract_y
_atom_site_fract_z
Cs1 0.000 0.500 0.248
Tl1 0.000 0.000 0.500
Tl2 0.000 0.500 0.873
Tl3 0.500 0.500 0.500
In1 0.000 0.000 0.000
In2 0.000 0.500 0.626
Hg1 0.500 0.500 0.000
```

=====

Below is a relaxed structure of TeSe2Br8, with properties calculated at the PBE-GGA level.

The theoretical density is 3.48 g cm⁻³. As for the total energy: -2.226 eV per atom. The uncorrected formation energy comes out at -8.68 kJ per mole of atoms.

```
data_TeSe2Br8
_cell_length_a 14.701
_cell_length_b 8.655
_cell_length_c 7.106
_cell_angle_alpha 90.00
_cell_angle_beta 102.63
_cell_angle_gamma 90.00
_symmetry_space_group_name_H-M 'C 1 2/m 1'
_symmetry_Int_Tables_number 12
_symmetry_space_group_name_Hall '-C 2y'
loop_
_atom_site_label
_atom_site_fract_x
_atom_site_fract_y
_atom_site_fract_z
Te1 0.000 0.000 0.000
Se1 0.234 0.000 0.708
Br1 0.106 0.220 0.872
Br2 0.120 0.500 0.371
Br3 0.131 0.000 0.386
```